The following is a PBE-GGA calculation of a relaxed structure of AcBiPb, from Alexandria.

```
3
Lattice="-0.238 -1.239 5.462 4.620 -1.672 2.699 2.435 3.382 3.750" Properties=species:S:1:pos:R:3 pbc="T T T"
Pb 0.000 0.000 0.000
Ac 1.704 0.118 2.978
Bi 3.409 0.235 5.955
```

Calculated values
- ΔH_f (0 K) (eV per atom) = -0.18
- relative energy among the computed polymorphs (meV per atom) = 413

=====

The following is a PBE-GGA calculation of a relaxed structure of LiFeAsSe2, from Alexandria.

```
5
Lattice="-3.592 2.291 -2.561 -3.223 -0.958 3.662 1.073 3.869 1.956" Properties=species:S:1:pos:R:3 pbc="T T T"
As 0.536 1.934 0.978
Fe 0.000 0.000 0.000
Li -2.871 2.601 1.529
Se -1.611 -0.479 1.831
Se -1.796 1.146 -1.281
```

Calculated values
- formation energy without anion corrections (meV per atom) = 30
- relative energy among the computed polymorphs (meV per atom) = 0

=====

The following is a PBE-GGA calculation of a relaxed structure of InPbBr2, from Alexandria.

```
4
Lattice="9.749 0.006 0.004 8.959 3.844 0.004 8.959 1.844 3.373" Properties=species:S:1:pos:R:3 pbc="T T T"
Br 27.665 5.694 3.380
Br 13.835 2.848 1.691
Pb 6.917 1.424 0.845
In 20.750 4.271 2.536
```

Calculated values
- formation energy without anion corrections (meV per atom) = -503
- relative energy among the computed polymorphs (meV per atom) = 37

=====

The following is a PBE-GGA calculation of a relaxed structure of YCdPdPb, from Alexandria.

```
4
Lattice="5.053 0.000 0.000 2.526 4.376 0.000 2.526 1.459 4.125" Properties=species:S:1:pos:R:3 pbc="T T T"
Cd 0.000 0.000 0.000
Y 2.526 1.459 1.031
Pb 7.579 4.376 3.094
Pd 5.053 2.917 2.063
```

Calculated values
- ΔH_f (0 K) (eV per atom) = -0.41

=====

- Which formula does entry 3 have?
  InPbBr2

=====

What did the first record say?
The following is a PBE-GGA calculation of a relaxed structure of AcBiPb, from Alexandria.

```
3
Lattice="-0.238 -1.239 5.462 4.620 -1.672 2.699 2.435 3.382 3.750" Properties=species:S:1:pos:R:3 pbc="T T T"
Pb 0.000 0.000 0.000
Ac 1.704 0.118 2.978
Bi 3.409 0.235 5.955
```

Calculated values
- ΔH_f (0 K) (eV per atom) = -0.18
- relative energy among the computed polymorphs (meV per atom) = 413

=====

What did the third record say?
The following is a PBE-GGA calculation of a relaxed structure of InPbBr2, from Alexandria.

```
4
Lattice="9.749 0.006 0.004 8.959 3.844 0.004 8.959 1.844 3.373" Properties=species:S:1:pos:R:3 pbc="T T T"
Br 27.665 5.694 3.380
Br 13.835 2.848 1.691
Pb 6.917 1.424 0.845
In 20.750 4.271 2.536
```

Calculated values
- formation energy without anion corrections (meV per atom) = -503
- relative energy among the computed polymorphs (meV per atom) = 37